Entry 1:
Below is CaInP2 after structural relaxation, with properties calculated at the PBE level.

Calculated values
E_form in meV/atom: -372
Crystal system: monoclinic
Volume in Å³/atom: 22.73

a = 3.969 Å, b = 3.969 Å, c = 7.057 Å
α = 106.09°, β = 106.09°, γ = 59.67°
Atoms (fractional coordinates):
Ca (0.000, 0.000, 0.000)
In (0.500, 0.500, 0.500)
P (0.242, 0.242, 0.727)
P (0.758, 0.758, 0.273)



Entry 2:
Below is CaInP after structural relaxation, with properties calculated at the PBE level.

Calculated values
E_form in meV/atom: -191
Crystal system: cubic
Volume in Å³/atom: 27.62

a = 4.893 Å, b = 4.893 Å, c = 4.893 Å
α = 60.00°, β = 60.00°, γ = 60.00°
Atoms (fractional coordinates):
Ca (0.000, 0.000, 0.000)
In (0.750, 0.750, 0.750)
P (0.250, 0.250, 0.250)



Entry 3:
Below is CaInP2 after structural relaxation, with properties calculated at the PBE level.

Calculated values
E_form in meV/atom: -357
Crystal system: tetragonal
Volume in Å³/atom: 23.68

a = 6.267 Å, b = 6.267 Å, c = 6.267 Å
α = 109.00°, β = 109.00°, γ = 110.42°
Atoms (fractional coordinates):
Ca (0.000, 0.000, 0.000)
Ca (0.750, 0.250, 0.500)
In (0.250, 0.750, 0.500)
In (0.500, 0.500, 0.000)
P (0.159, 0.625, 0.034)
P (0.375, 0.409, 0.534)
P (0.591, 0.125, 0.966)
P (0.875, 0.841, 0.466)



Entry 4:
Below is Ca3InP2Pd9 after structural relaxation, with properties calculated at the PBE level.

Calculated values
E_form in meV/atom: -633
Crystal system: trigonal
Volume in Å³/atom: 21.20

a = 6.156 Å, b = 6.156 Å, c = 9.689 Å
α = 90.00°, β = 90.00°, γ = 120.00°
Atoms (fractional coordinates):
Ca (0.000, 0.000, 0.000)
Ca (0.333, 0.667, 0.711)
Ca (0.667, 0.333, 0.289)
In (0.000, 0.000, 0.500)
P (0.333, 0.667, 0.158)
P (0.667, 0.333, 0.842)
Pd (0.000, 0.500, 0.000)
Pd (0.150, 0.300, 0.274)
Pd (0.150, 0.850, 0.274)
Pd (0.300, 0.150, 0.726)
Pd (0.500, 0.000, 0.000)
Pd (0.500, 0.500, 0.000)
Pd (0.700, 0.850, 0.274)
Pd (0.850, 0.150, 0.726)
Pd (0.850, 0.700, 0.726)



Entry 5:
Below is Ca3InP2Pt9 after structural relaxation, with properties calculated at the PBE level.

Calculated values
E_form in meV/atom: -655
Crystal system: trigonal
Volume in Å³/atom: 20.43

a = 5.728 Å, b = 5.728 Å, c = 10.782 Å
α = 90.00°, β = 90.00°, γ = 120.00°
Atoms (fractional coordinates):
Ca (0.000, 0.000, 0.000)
Ca (0.333, 0.667, 0.603)
Ca (0.667, 0.333, 0.397)
In (0.000, 0.000, 0.500)
P (0.333, 0.667, 0.155)
P (0.667, 0.333, 0.845)
Pt (0.000, 0.500, 0.000)
Pt (0.161, 0.322, 0.297)
Pt (0.161, 0.839, 0.297)
Pt (0.322, 0.161, 0.703)
Pt (0.500, 0.000, 0.000)
Pt (0.500, 0.500, 0.000)
Pt (0.678, 0.839, 0.297)
Pt (0.839, 0.161, 0.703)
Pt (0.839, 0.678, 0.703)



Entry 6:
Below is RbCaIn2P after structural relaxation, with properties calculated at the PBE level.

Calculated values
E_form in meV/atom: 216
Crystal system: tetragonal
Volume in Å³/atom: 35.35

a = 5.395 Å, b = 5.395 Å, c = 6.072 Å
α = 90.00°, β = 90.00°, γ = 90.00°
Atoms (fractional coordinates):
Rb (0.000, 0.000, 0.000)
Ca (0.500, 0.500, 0.000)
In (0.000, 0.500, 0.500)
In (0.500, 0.000, 0.500)
P (0.000, 0.000, 0.500)



Entry 7:
Below is CaInP2S after structural relaxation, with properties calculated at the PBE level.

Calculated values
ΔE_f (raw) in eV/atom: 0.1978
Crystal system: tetragonal
Volume in Å³/atom: 27.76

a = 5.103 Å, b = 5.103 Å, c = 5.330 Å
α = 90.00°, β = 90.00°, γ = 90.00°
Atoms (fractional coordinates):
Ca (0.000, 0.000, 0.000)
In (0.500, 0.500, 0.500)
P (0.000, 0.500, 0.500)
P (0.500, 0.000, 0.500)
S (0.500, 0.500, 0.000)



Entry 8:
Below is CaInPS2 after structural relaxation, with properties calculated at the PBE level.

Calculated values
ΔE_f (raw) in eV/atom: 0.2437
Crystal system: tetragonal
Volume in Å³/atom: 31.30

a = 5.312 Å, b = 5.312 Å, c = 5.546 Å
α = 90.00°, β = 90.00°, γ = 90.00°
Atoms (fractional coordinates):
Ca (0.000, 0.000, 0.000)
In (0.500, 0.500, 0.500)
P (0.000, 0.000, 0.500)
S (0.000, 0.500, 0.000)
S (0.500, 0.000, 0.000)



Entry 9:
Below is CaInP2S after structural relaxation, with properties calculated at the PBE level.

Calculated values
ΔE_f (raw) in eV/atom: 0.5761
Crystal system: tetragonal
Volume in Å³/atom: 29.40

a = 5.321 Å, b = 5.321 Å, c = 5.190 Å
α = 90.00°, β = 90.00°, γ = 90.00°
Atoms (fractional coordinates):
Ca (0.000, 0.000, 0.000)
In (0.500, 0.500, 0.500)
P (0.000, 0.500, 0.000)
P (0.500, 0.000, 0.000)
S (0.000, 0.000, 0.500)



Entry 10:
Below is CaInPS2 after structural relaxation, with properties calculated at the PBE level.

Calculated values
ΔE_f (raw) in eV/atom: -0.1530
Crystal system: tetragonal
Volume in Å³/atom: 25.82

a = 5.114 Å, b = 5.114 Å, c = 4.937 Å
α = 90.00°, β = 90.00°, γ = 90.00°
Atoms (fractional coordinates):
Ca (0.000, 0.000, 0.000)
In (0.500, 0.500, 0.500)
P (0.500, 0.500, 0.000)
S (0.000, 0.500, 0.500)
S (0.500, 0.000, 0.500)



Entry 11:
Below is Ca2InSbP after structural relaxation, with properties calculated at the PBE level.

Calculated values
ΔE_f (raw) in eV/atom: -0.7463
Crystal system: monoclinic
Volume in Å³/atom: 29.53

a = 8.264 Å, b = 4.067 Å, c = 9.127 Å
α = 90.00°, β = 105.71°, γ = 90.00°
Atoms (fractional coordinates):
Ca (0.154, 0.250, 0.438)
Ca (0.187, 0.250, 0.887)
Ca (0.813, 0.750, 0.113)
Ca (0.846, 0.750, 0.562)
In (0.499, 0.250, 0.352)
In (0.501, 0.750, 0.648)
Sb (0.238, 0.750, 0.176)
Sb (0.762, 0.250, 0.824)
P (0.201, 0.750, 0.673)
P (0.799, 0.250, 0.327)



Entry 12:
Below is CaScInP2 after structural relaxation, with properties calculated at the PBE level.

Calculated values
E_form in meV/atom: 785
Crystal system: tetragonal
Volume in Å³/atom: 28.85

a = 5.150 Å, b = 5.150 Å, c = 5.438 Å
α = 90.00°, β = 90.00°, γ = 90.00°
Atoms (fractional coordinates):
Ca (0.000, 0.000, 0.000)
Sc (0.000, 0.000, 0.500)
In (0.500, 0.500, 0.500)
P (0.000, 0.500, 0.000)
P (0.500, 0.000, 0.000)



Entry 13:
Below is SrCaInP2 after structural relaxation, with properties calculated at the PBE level.

Calculated values
E_form in meV/atom: -597
Crystal system: monoclinic
Volume in Å³/atom: 28.61

a = 6.975 Å, b = 5.356 Å, c = 7.814 Å
α = 90.00°, β = 101.47°, γ = 90.00°
Atoms (fractional coordinates):
Sr (0.000, 0.163, 0.250)
Sr (0.000, 0.837, 0.750)
Ca (0.500, 0.489, 0.750)
Ca (0.500, 0.511, 0.250)
In (0.500, 0.000, 0.000)
In (0.500, 0.000, 0.500)
P (0.225, 0.297, 0.955)
P (0.225, 0.703, 0.455)
P (0.775, 0.297, 0.545)
P (0.775, 0.703, 0.045)



Entry 14:
Below is SrCa2InP after structural relaxation, with properties calculated at the PBE level.

Calculated values
E_form in meV/atom: -611
Crystal system: tetragonal
Volume in Å³/atom: 35.17

a = 5.471 Å, b = 5.471 Å, c = 5.876 Å
α = 90.00°, β = 90.00°, γ = 90.00°
Atoms (fractional coordinates):
Sr (0.000, 0.000, 0.000)
Ca (0.000, 0.500, 0.500)
Ca (0.500, 0.000, 0.500)
In (0.500, 0.500, 0.000)
P (0.000, 0.000, 0.500)



Entry 15:
Below is CaPaIn6 after structural relaxation, with properties calculated at the PBE level.

Calculated values
E_form in meV/atom: -217
Crystal system: tetragonal
Volume in Å³/atom: 25.53

a = 4.669 Å, b = 4.669 Å, c = 9.368 Å
α = 90.00°, β = 90.00°, γ = 90.00°
Atoms (fractional coordinates):
Ca (0.000, 0.000, 0.000)
Pa (0.000, 0.000, 0.500)
In (0.000, 0.500, 0.251)
In (0.000, 0.500, 0.749)
In (0.500, 0.000, 0.251)
In (0.500, 0.000, 0.749)
In (0.500, 0.500, 0.000)
In (0.500, 0.500, 0.500)



Entry 16:
Below is Ca2PaIn3Se6 after structural relaxation, with properties calculated at the PBE level.

Calculated values
ΔE_f (raw) in eV/atom: -1.1886
Crystal system: monoclinic
Volume in Å³/atom: 29.53

a = 7.299 Å, b = 7.299 Å, c = 8.037 Å
α = 98.60°, β = 98.60°, γ = 119.88°
Atoms (fractional coordinates):
Ca (0.166, 0.834, 0.000)
Ca (0.834, 0.166, 0.000)
Pa (0.500, 0.500, 0.000)
In (0.000, 0.000, 0.500)
In (0.331, 0.669, 0.500)
In (0.669, 0.331, 0.500)
Se (0.118, 0.430, 0.791)
Se (0.260, 0.260, 0.217)
Se (0.430, 0.118, 0.791)
Se (0.570, 0.882, 0.209)
Se (0.740, 0.740, 0.783)
Se (0.882, 0.570, 0.209)



Entry 17:
Below is Ca2PaIn3Te6 after structural relaxation, with properties calculated at the PBE level.

Calculated values
ΔE_f (raw) in eV/atom: -0.8641
Crystal system: monoclinic
Volume in Å³/atom: 35.00

a = 7.750 Å, b = 7.750 Å, c = 8.457 Å
α = 98.71°, β = 98.71°, γ = 119.85°
Atoms (fractional coordinates):
Ca (0.166, 0.834, 0.000)
Ca (0.834, 0.166, 0.000)
Pa (0.500, 0.500, 0.000)
In (0.000, 0.000, 0.500)
In (0.331, 0.669, 0.500)
In (0.669, 0.331, 0.500)
Te (0.112, 0.426, 0.779)
Te (0.261, 0.261, 0.227)
Te (0.426, 0.112, 0.779)
Te (0.574, 0.888, 0.221)
Te (0.739, 0.739, 0.773)
Te (0.888, 0.574, 0.221)



Entry 18:
Below is Ca2InPb after structural relaxation, with properties calculated at the PBE level.

Calculated values
E_form in meV/atom: -383
Crystal system: orthorhombic
Volume in Å³/atom: 30.60

a = 6.671 Å, b = 6.671 Å, c = 6.671 Å
α = 144.87°, β = 133.68°, γ = 59.44°
Atoms (fractional coordinates):
Ca (0.000, 0.000, 0.000)
Ca (0.727, 0.227, 0.500)
In (0.253, 0.753, 0.500)
Pb (0.464, 0.464, 0.000)



Entry 19:
Below is Ca2InPb4 after structural relaxation, with properties calculated at the PBE level.

Calculated values
E_form in meV/atom: -194
Crystal system: orthorhombic
Volume in Å³/atom: 32.72

a = 8.309 Å, b = 8.309 Å, c = 6.810 Å
α = 90.00°, β = 90.00°, γ = 77.03°
Atoms (fractional coordinates):
Ca (0.147, 0.147, 0.000)
Ca (0.353, 0.353, 0.500)
Ca (0.647, 0.647, 0.500)
Ca (0.853, 0.853, 0.000)
In (0.000, 0.000, 0.500)
In (0.500, 0.500, 0.000)
Pb (0.000, 0.500, 0.250)
Pb (0.000, 0.500, 0.750)
Pb (0.250, 0.750, 0.251)
Pb (0.250, 0.750, 0.751)
Pb (0.500, 0.000, 0.250)
Pb (0.500, 0.000, 0.750)
Pb (0.750, 0.250, 0.249)
Pb (0.750, 0.250, 0.749)



Entry 20:
Below is Ca6In4Pb7 after structural relaxation, with properties calculated at the PBE level.

Calculated values
E_form in meV/atom: -209
Crystal system: cubic
Volume in Å³/atom: 31.84

a = 8.892 Å, b = 8.892 Å, c = 8.892 Å
α = 109.47°, β = 109.47°, γ = 109.47°
Atoms (fractional coordinates):
Ca (0.000, 0.293, 0.293)
Ca (0.000, 0.707, 0.707)
Ca (0.293, 0.000, 0.293)
Ca (0.293, 0.293, 0.000)
Ca (0.707, 0.000, 0.707)
Ca (0.707, 0.707, 0.000)
In (0.000, 0.000, 0.500)
In (0.000, 0.500, 0.000)
In (0.500, 0.000, 0.000)
In (0.500, 0.500, 0.500)
Pb (0.000, 0.000, 0.000)
Pb (0.250, 0.500, 0.750)
Pb (0.250, 0.750, 0.500)
Pb (0.500, 0.250, 0.750)
Pb (0.500, 0.750, 0.250)
Pb (0.750, 0.250, 0.500)
Pb (0.750, 0.500, 0.250)



Entry 21:
Below is Ca6In5Pb after structural relaxation, with properties calculated at the PBE level.

Calculated values
E_form in meV/atom: -484
Crystal system: monoclinic
Volume in Å³/atom: 28.92

a = 5.440 Å, b = 7.790 Å, c = 8.623 Å
α = 90.00°, β = 108.28°, γ = 90.00°
Atoms (fractional coordinates):
Ca (0.000, 0.249, 0.000)
Ca (0.000, 0.751, 0.000)
Ca (0.335, 0.252, 0.667)
Ca (0.335, 0.748, 0.667)
Ca (0.665, 0.252, 0.333)
Ca (0.665, 0.748, 0.333)
In (0.165, 0.500, 0.334)
In (0.169, 0.000, 0.343)
In (0.500, 0.500, 0.000)
In (0.831, 0.000, 0.657)
In (0.835, 0.500, 0.666)
Pb (0.500, 0.000, 0.000)



Entry 22:
Below is Ca2In2Pb3 after structural relaxation, with properties calculated at the PBE level.

Calculated values
E_form in meV/atom: -288
Crystal system: triclinic
Volume in Å³/atom: 29.51

a = 4.735 Å, b = 5.994 Å, c = 8.141 Å
α = 102.03°, β = 90.78°, γ = 113.21°
Atoms (fractional coordinates):
Ca (0.216, 0.428, 0.164)
Ca (0.784, 0.572, 0.836)
In (0.364, 0.733, 0.570)
In (0.636, 0.267, 0.430)
Pb (0.064, 0.133, 0.716)
Pb (0.500, 0.000, 0.000)
Pb (0.936, 0.867, 0.284)



Entry 23:
Below is Ca2In5Pb after structural relaxation, with properties calculated at the PBE level.

Calculated values
E_form in meV/atom: -313
Crystal system: orthorhombic
Volume in Å³/atom: 26.98

a = 6.777 Å, b = 13.512 Å, c = 4.713 Å
α = 90.00°, β = 90.00°, γ = 90.00°
Atoms (fractional coordinates):
Ca (0.243, 0.123, 0.000)
Ca (0.257, 0.623, 0.000)
Ca (0.743, 0.377, 0.000)
Ca (0.757, 0.877, 0.000)
In (0.000, 0.500, 0.500)
In (0.009, 0.749, 0.500)
In (0.236, 0.371, 0.000)
In (0.264, 0.871, 0.000)
In (0.491, 0.249, 0.500)
In (0.500, 0.000, 0.500)
In (0.509, 0.751, 0.500)
In (0.736, 0.129, 0.000)
In (0.764, 0.629, 0.000)
In (0.991, 0.251, 0.500)
Pb (0.000, 0.000, 0.500)
Pb (0.500, 0.500, 0.500)